# 1
The following is a DFT calculation (PBE) of crystalline FeMoW at its relaxed geometry.

Properties
Offset from the most stable computed form   0.119 eV per atom
Total magnetic moment   2.2 μB/f.u.
DFT formation energy   193 meV per atom

Cell lengths 3.1310, 3.1310, 8.9932 Å; angles 90.00, 90.00, 90.00 degrees
Space group I4mm (No. 107)
Inequivalent atoms, fractional coordinates:
Fe 0.0000 0.0000 0.0000
Mo 0.0000 0.0000 0.6655
W 0.0000 0.0000 0.3363

# 2
The following is a DFT calculation (PBE) of crystalline BaTi3Br at its relaxed geometry.

Properties
Offset from the most stable computed form   1.263 eV per atom
Total magnetic moment   1.4 μB/f.u.
Raw formation energy   1.873 eV per atom

Cell lengths 5.1018, 5.1018, 5.1018 Å; angles 90.00, 90.00, 90.00 degrees
Space group Pm-3m (No. 221)
Inequivalent atoms, fractional coordinates:
Ba 0.0000 0.0000 0.0000
Ti 0.0000 0.0000 0.5000
Br 0.5000 0.5000 0.5000

| no. | calculated density (Mg/m³) | final energy (eV/atom) |
| --- | --- | --- |
| 1 | 12.64 | -10.5561 |
| 2 | 4.51 | -3.5835 |